# 1
# Ti2InPd9, optimized geometry, DFT PBE-GGA
# Total energy   -6.03 eV/atom
# DFT formation energy   -0.60 eV per atom
# D(E_F)   5.2 states/eV/f.u.
data_Ti2InPd9
_cell_length_a 3.962
_cell_length_b 3.962
_cell_length_c 11.912
_cell_angle_alpha 90.00
_cell_angle_beta 90.00
_cell_angle_gamma 90.00
_symmetry_space_group_name_H-M 'P 4/m m m'
_symmetry_Int_Tables_number 123
_symmetry_space_group_name_Hall '-P 4 2'
loop_
_atom_site_label
_atom_site_fract_x
_atom_site_fract_y
_atom_site_fract_z
Ti1 0.000 0.000 0.167
In1 0.000 0.000 0.500
Pd1 0.000 0.500 0.000
Pd2 0.000 0.500 0.323
Pd3 0.500 0.500 0.162
Pd4 0.500 0.500 0.500

***

# 2
# Pm3B4Rh4, optimized geometry, DFT PBE-GGA
# Total energy   -6.92 eV/atom
# DFT formation energy   -0.53 eV per atom
# D(E_F)   5.2 states/eV/f.u.
data_Pm3B4Rh4
_cell_length_a 3.574
_cell_length_b 4.255
_cell_length_c 11.596
_cell_angle_alpha 83.69
_cell_angle_beta 81.32
_cell_angle_gamma 89.93
_symmetry_space_group_name_H-M 'P -1'
_symmetry_Int_Tables_number 2
loop_
_symmetry_equiv_pos_as_xyz
'x,y,z'
'-x,-y,-z'
loop_
_atom_site_label
_atom_site_fract_x
_atom_site_fract_y
_atom_site_fract_z
Pm1 0.000 0.000 0.000
Pm2 0.349 0.895 0.299
B1 0.112 0.587 0.778
B2 0.245 0.159 0.511
Rh1 0.213 0.645 0.575
Rh2 0.436 0.454 0.124

***

# 3
# P2OsPb, optimized geometry, DFT PBE-GGA
# Total energy   -5.46 eV/atom
# DFT formation energy   0.98 eV per atom
# D(E_F)   3.8 states/eV/f.u.
data_P2OsPb
_cell_length_a 4.747
_cell_length_b 4.747
_cell_length_c 3.086
_cell_angle_alpha 90.00
_cell_angle_beta 90.00
_cell_angle_gamma 90.00
_symmetry_space_group_name_H-M 'P 4/m m m'
_symmetry_Int_Tables_number 123
_symmetry_space_group_name_Hall '-P 4 2'
loop_
_atom_site_label
_atom_site_fract_x
_atom_site_fract_y
_atom_site_fract_z
P1 0.000 0.500 0.000
Os1 0.000 0.000 0.500
Pb1 0.500 0.500 0.500

***

# 4
# Mg2InW, optimized geometry, DFT PBE-GGA
# Total energy   -4.32 eV/atom
# DFT formation energy   0.40 eV per atom
# D(E_F)   3.1 states/eV/f.u.
data_Mg2InW
_cell_length_a 2.850
_cell_length_b 4.912
_cell_length_c 5.544
_cell_angle_alpha 90.00
_cell_angle_beta 97.43
_cell_angle_gamma 90.00
_symmetry_space_group_name_H-M 'P 1 m 1'
_symmetry_Int_Tables_number 6
loop_
_symmetry_equiv_pos_as_xyz
'x,y,z'
'x,-y,z'
loop_
_atom_site_label
_atom_site_fract_x
_atom_site_fract_y
_atom_site_fract_z
Mg1 0.000 0.000 0.000
Mg2 0.250 0.500 0.747
In1 0.477 0.000 0.476
W1 0.723 0.500 0.240

***

Look up the DFT formation energy of the second one. -0.53 eV per atom

***

Number 1 is which compound? Ti2InPd9